A plane-wave DFT calculation with SCAN was carried out for a PBEsol-optimized structure of SnH3Rh.

It has space group Pm-3m (No. 221), with a = 3.762 Å, b = 3.762 Å, c = 3.762 Å, α = 90.00°, β = 90.00° and γ = 90.00°. The asymmetric unit holds Sn at (0.000, 0.000, 0.000), H at (0.000, 0.000, 0.500) and Rh at (0.500, 0.500, 0.500).

A plane-wave DFT calculation with SCAN was carried out for a PBEsol-optimized structure of Sn3HRh.

It has space group Pm-3m (No. 221), with a = 5.023 Å, b = 5.023 Å, c = 5.023 Å, α = 90.00°, β = 90.00° and γ = 90.00°. The asymmetric unit holds Sn at (0.000, 0.000, 0.500), H at (0.500, 0.500, 0.500) and Rh at (0.000, 0.000, 0.000).

A plane-wave DFT calculation with SCAN was carried out for a PBEsol-optimized structure of SnH2Rh2.

It has space group I4/mmm (No. 139), with a = 3.198 Å, b = 3.198 Å, c = 10.241 Å, α = 90.00°, β = 90.00° and γ = 90.00°. The asymmetric unit holds Sn at (0.000, 0.000, 0.000), H at (0.000, 0.500, 0.250) and Rh at (0.000, 0.000, 0.352).

A plane-wave DFT calculation with SCAN was carried out for a PBEsol-optimized structure of SrH3Rh.

It has space group Pm-3m (No. 221), with a = 3.718 Å, b = 3.718 Å, c = 3.718 Å, α = 90.00°, β = 90.00° and γ = 90.00°. The asymmetric unit holds Sr at (0.000, 0.000, 0.000), H at (0.000, 0.500, 0.500) and Rh at (0.500, 0.500, 0.500).

A plane-wave DFT calculation with SCAN was carried out for a PBEsol-optimized structure of Ta3HRh.

It has space group Pm-3m (No. 221), with a = 4.093 Å, b = 4.093 Å, c = 4.093 Å, α = 90.00°, β = 90.00° and γ = 90.00°. The asymmetric unit holds Ta at (0.000, 0.000, 0.500), H at (0.000, 0.000, 0.000) and Rh at (0.500, 0.500, 0.500).

A plane-wave DFT calculation with SCAN was carried out for a PBEsol-optimized structure of Ta2H2Rh.

It has space group I4/mmm (No. 139), with a = 2.891 Å, b = 2.891 Å, c = 12.717 Å, α = 90.00°, β = 90.00° and γ = 90.00°. The asymmetric unit holds Ta at (0.000, 0.000, 0.147), H at (0.000, 0.500, 0.250) and Rh at (0.000, 0.000, 0.500).

no.,VASP energy (eV per atom)
1,-14.94
2,-28.54
3,-22.21
4,-13.90
5,-47.52
6,-35.11